Record 1
ZrSnHg2W (PBE, optimized geometry); E_tot = -4.33 eV/atom; calculated formation energy = 0.887 eV per atom; theoretical density = 9.3 g cm⁻³
1.0
5.3364 0.0000 0.0000
0.0000 5.3364 0.0000
0.0000 0.0000 4.9689
Zr Sn Hg W
1 1 2 1
Cartesian
0.0000 0.0000 0.0000 Zr
2.6682 2.6682 0.0000 Sn
0.0000 2.6682 2.4844 Hg
2.6682 0.0000 2.4844 Hg
0.0000 0.0000 2.4844 W

Record 2
P2WICl (PBE, optimized geometry); uncorrected formation energy = 0.32 eV per atom; E_tot = -5.12 eV/atom; relative energy among the computed polymorphs = 0.000 eV/atom; theoretical density = 6.1 g cm⁻³
1.0
4.7918 0.0000 0.0000
0.0000 4.7918 0.0000
0.0000 0.0000 4.8438
P W I Cl
2 1 1 1
Cartesian
0.0000 2.3959 0.0000 P
2.3959 0.0000 0.0000 P
0.0000 0.0000 0.0000 W
2.3959 2.3959 2.4219 I
0.0000 0.0000 2.4219 Cl

Record 3
KMgSc3 (PBE, optimized geometry); E_tot = -3.04 eV/atom; calculated formation energy = 1.292 eV per atom; relative energy among the computed polymorphs = 0.469 eV/atom; theoretical density = 2.5 g cm⁻³
1.0
5.0897 0.0000 0.0000
0.0000 5.0897 0.0000
0.0000 0.0000 5.0897
K Mg Sc
1 1 3
Cartesian
0.0000 0.0000 0.0000 K
2.5449 2.5449 2.5449 Mg
0.0000 0.0000 2.5449 Sc
0.0000 2.5449 0.0000 Sc
2.5449 0.0000 0.0000 Sc